Record 1
Here is a relaxed Tb4Au2Se5 crystal from the Alexandria database. Energies are from PBE-GGA.

a b c (Å): 10.154 10.154 10.723
angles (deg): 100.45 100.45 23.60
Fractional positions:
Tb 0.019 0.019 0.329
Tb 0.365 0.365 0.932
Tb 0.635 0.635 0.068
Tb 0.981 0.981 0.671
Au 0.210 0.210 0.953
Au 0.790 0.790 0.047
Se 0.071 0.071 0.896
Se 0.141 0.141 0.257
Se 0.500 0.500 0.500
Se 0.859 0.859 0.743
Se 0.929 0.929 0.104

Values from the calculation:
Energy = -5.06 eV/atom
Fermi-level density of states = 1.97 states/eV/f.u.
ΔE_f (raw) = -1.19 eV per atom

Record 2
Here is a relaxed Tb2AuSe crystal from the Alexandria database. Energies are from PBE-GGA.

a b c (Å): 3.967 3.967 22.790
angles (deg): 90.00 90.00 120.00
Fractional positions:
Tb 0.000 0.000 0.000
Tb 0.000 0.000 0.171
Tb 0.333 0.667 0.667
Tb 0.333 0.667 0.837
Tb 0.667 0.333 0.333
Tb 0.667 0.333 0.504
Au 0.000 0.000 0.587
Au 0.333 0.667 0.253
Au 0.667 0.333 0.920
Se 0.000 0.000 0.417
Se 0.333 0.667 0.084
Se 0.667 0.333 0.750

Values from the calculation:
Energy = -5.21 eV/atom
Fermi-level density of states = 2.49 states/eV/f.u.
ΔE_f (raw) = -1.21 eV per atom

Record 3
Here is a relaxed Tb6AuSe4 crystal from the Alexandria database. Energies are from PBE-GGA.

a b c (Å): 7.009 7.009 20.912
angles (deg): 90.00 90.00 146.65
Fractional positions:
Tb 0.000 0.000 0.000
Tb 0.000 0.000 0.500
Tb 0.172 0.828 0.750
Tb 0.273 0.727 0.089
Tb 0.273 0.727 0.411
Tb 0.443 0.557 0.666
Tb 0.443 0.557 0.834
Tb 0.557 0.443 0.166
Tb 0.557 0.443 0.334
Tb 0.727 0.273 0.589
Tb 0.727 0.273 0.911
Tb 0.828 0.172 0.250
Au 0.164 0.836 0.250
Au 0.836 0.164 0.750
Se 0.085 0.915 0.625
Se 0.085 0.915 0.875
Se 0.359 0.641 0.539
Se 0.359 0.641 0.961
Se 0.641 0.359 0.039
Se 0.641 0.359 0.461
Se 0.915 0.085 0.125
Se 0.915 0.085 0.375

Values from the calculation:
Energy = -5.55 eV/atom
Fermi-level density of states = 6.93 states/eV/f.u.
ΔE_f (raw) = -1.46 eV per atom

Record 4
Here is a relaxed Tb2AuSe crystal from the Alexandria database. Energies are from PBE-GGA.

a b c (Å): 3.990 23.044 4.285
angles (deg): 90.00 90.00 90.00
Fractional positions:
Tb 0.000 0.067 0.250
Tb 0.000 0.318 0.250
Tb 0.000 0.682 0.750
Tb 0.000 0.933 0.750
Tb 0.500 0.182 0.750
Tb 0.500 0.433 0.750
Tb 0.500 0.567 0.250
Tb 0.500 0.818 0.250
Au 0.000 0.454 0.250
Au 0.000 0.546 0.750
Au 0.500 0.046 0.750
Au 0.500 0.954 0.250
Se 0.000 0.193 0.250
Se 0.000 0.807 0.750
Se 0.500 0.307 0.750
Se 0.500 0.693 0.250

Values from the calculation:
Energy = -5.33 eV/atom
Fermi-level density of states = 1.92 states/eV/f.u.
ΔE_f (raw) = -1.33 eV per atom

Record 5
Here is a relaxed TbAuSe2 crystal from the Alexandria database. Energies are from PBE-GGA.

a b c (Å): 4.320 4.320 23.374
angles (deg): 90.00 90.00 120.00
Fractional positions:
Tb 0.000 0.671 0.333
Tb 0.329 0.329 0.000
Tb 0.671 0.000 0.667
Au 0.000 0.665 0.833
Au 0.335 0.335 0.500
Au 0.665 0.000 0.167
Se 0.004 0.667 0.729
Se 0.333 0.338 0.396
Se 0.338 0.333 0.604
Se 0.662 0.996 0.063
Se 0.667 0.004 0.271
Se 0.996 0.662 0.937

Values from the calculation:
Energy = -4.85 eV/atom
Fermi-level density of states = 0.00 states/eV/f.u.
ΔE_f (raw) = -1.13 eV per atom

Record 6
Here is a relaxed Tb6AuSe5 crystal from the Alexandria database. Energies are from PBE-GGA.

a b c (Å): 7.141 7.141 7.135
angles (deg): 99.61 99.61 119.99
Fractional positions:
Tb 0.081 0.413 0.247
Tb 0.248 0.248 0.751
Tb 0.413 0.081 0.247
Tb 0.587 0.919 0.753
Tb 0.752 0.752 0.249
Tb 0.919 0.587 0.753
Au 0.000 0.000 0.000
Se 0.170 0.830 0.500
Se 0.335 0.665 0.000
Se 0.500 0.500 0.500
Se 0.665 0.335 0.000
Se 0.830 0.170 0.500

Values from the calculation:
Energy = -5.68 eV/atom
Fermi-level density of states = 4.69 states/eV/f.u.
ΔE_f (raw) = -1.64 eV per atom

Record 7
Here is a relaxed Tb3AuSe6 crystal from the Alexandria database. Energies are from PBE-GGA.

a b c (Å): 9.070 9.070 6.732
angles (deg): 90.00 90.00 105.14
Fractional positions:
Tb 0.094 0.906 0.500
Tb 0.221 0.415 0.385
Tb 0.415 0.221 0.885
Tb 0.585 0.779 0.385
Tb 0.779 0.585 0.885
Tb 0.906 0.094 0.000
Au 0.248 0.752 0.883
Au 0.752 0.248 0.383
Se 0.054 0.584 0.653
Se 0.129 0.199 0.697
Se 0.199 0.129 0.197
Se 0.263 0.737 0.252
Se 0.416 0.946 0.653
Se 0.496 0.504 0.626
Se 0.504 0.496 0.126
Se 0.584 0.054 0.153
Se 0.737 0.263 0.752
Se 0.801 0.871 0.697
Se 0.871 0.801 0.197
Se 0.946 0.416 0.153

Values from the calculation:
Energy = -5.11 eV/atom
Fermi-level density of states = 5.41 states/eV/f.u.
ΔE_f (raw) = -1.31 eV per atom

Record 8
Here is a relaxed TbAuSe2 crystal from the Alexandria database. Energies are from PBE-GGA.

a b c (Å): 4.318 4.318 23.381
angles (deg): 90.00 90.00 120.00
Fractional positions:
Tb 0.000 0.000 0.000
Tb 0.333 0.667 0.667
Tb 0.667 0.333 0.333
Au 0.000 0.000 0.500
Au 0.333 0.667 0.167
Au 0.667 0.333 0.833
Se 0.000 0.000 0.396
Se 0.000 0.000 0.604
Se 0.333 0.667 0.063
Se 0.333 0.667 0.271
Se 0.667 0.333 0.729
Se 0.667 0.333 0.937

Values from the calculation:
Energy = -4.85 eV/atom
Fermi-level density of states = 0.00 states/eV/f.u.
ΔE_f (raw) = -1.13 eV per atom

Record 9
Here is a relaxed TbAuSe2 crystal from the Alexandria database. Energies are from PBE-GGA.

a b c (Å): 7.683 4.438 7.750
angles (deg): 90.00 109.36 90.00
Fractional positions:
Tb 0.000 0.000 0.000
Tb 0.500 0.500 0.000
Au 0.438 0.000 0.315
Au 0.938 0.500 0.315
Se 0.116 0.500 0.848
Se 0.124 0.000 0.373
Se 0.616 0.000 0.848
Se 0.624 0.500 0.373

Values from the calculation:
Energy = -4.71 eV/atom
Fermi-level density of states = 0.18 states/eV/f.u.
ΔE_f (raw) = -0.99 eV per atom

Record 10
Here is a relaxed Tb2AuSe crystal from the Alexandria database. Energies are from PBE-GGA.

a b c (Å): 4.024 4.024 21.898
angles (deg): 90.00 90.00 120.00
Fractional positions:
Tb 0.000 0.000 0.250
Tb 0.000 0.000 0.750
Tb 0.333 0.667 0.416
Tb 0.333 0.667 0.917
Tb 0.667 0.333 0.083
Tb 0.667 0.333 0.584
Au 0.000 0.000 0.500
Au 0.333 0.667 0.167
Au 0.667 0.333 0.833
Se 0.000 0.000 0.000
Se 0.333 0.667 0.667
Se 0.667 0.333 0.333

Values from the calculation:
Energy = -5.28 eV/atom
Fermi-level density of states = 2.83 states/eV/f.u.
ΔE_f (raw) = -1.27 eV per atom

Record 11
Here is a relaxed Tb8Te4Au3Se crystal from the Alexandria database. Energies are from PBE-GGA.

a b c (Å): 8.728 8.728 8.728
angles (deg): 57.93 57.93 57.93
Fractional positions:
Tb 0.241 0.241 0.241
Tb 0.242 0.744 0.744
Tb 0.256 0.256 0.758
Tb 0.256 0.758 0.256
Tb 0.744 0.242 0.744
Tb 0.744 0.744 0.242
Tb 0.758 0.256 0.256
Tb 0.759 0.759 0.759
Te 0.000 0.000 0.000
Te 0.000 0.500 0.500
Te 0.500 0.000 0.500
Te 0.500 0.500 0.000
Au 0.000 0.000 0.500
Au 0.000 0.500 0.000
Au 0.500 0.000 0.000
Se 0.500 0.500 0.500

Values from the calculation:
Energy = -5.12 eV/atom
Fermi-level density of states = 11.09 states/eV/f.u.
ΔE_f (raw) = -1.18 eV per atom

Record 12
Here is a relaxed Tb6Te3Au2Se crystal from the Alexandria database. Energies are from PBE-GGA.

a b c (Å): 9.753 9.753 8.792
angles (deg): 106.77 106.77 24.72
Fractional positions:
Tb 0.009 0.009 0.241
Tb 0.333 0.333 0.415
Tb 0.334 0.334 0.885
Tb 0.666 0.666 0.115
Tb 0.667 0.667 0.585
Tb 0.991 0.991 0.759
Te 0.162 0.162 0.848
Te 0.500 0.500 0.500
Te 0.838 0.838 0.152
Au 0.172 0.172 0.352
Au 0.828 0.828 0.648
Se 0.500 0.500 0.000

Values from the calculation:
Energy = -5.17 eV/atom
Fermi-level density of states = 6.54 states/eV/f.u.
ΔE_f (raw) = -1.23 eV per atom